The following is a PBE calculation of a geometry-optimized TcIr2W structure, from the Alexandria database.

Unit cell a=4.772 b=4.772 c=4.817 alpha=99.64 beta=99.64 gamma=33.54
Atoms (fractional coordinates):
1 Tc 0.000 0.000 0.000
2 Ir 0.501 0.501 0.491
3 Ir 0.746 0.746 0.216
4 W 0.248 0.248 0.721

Output
The energy of formation from the pure elements is -0.163 eV/atom. The volume comes out at 14.92 Å³/atom. The energy above the most stable polymorph in this dataset is 0.66 eV per formula unit.

The following is a PBE calculation of a geometry-optimized TcIr2W structure, from the Alexandria database.

Unit cell a=4.411 b=4.411 c=4.411 alpha=60.00 beta=60.00 gamma=60.00
Atoms (fractional coordinates):
1 Tc 0.000 0.000 0.000
2 Ir 0.250 0.250 0.250
3 Ir 0.500 0.500 0.500
4 W 0.750 0.750 0.750

Output
The energy of formation from the pure elements is 0.230 eV/atom. The volume comes out at 15.18 Å³/atom. The energy above the most stable polymorph in this dataset is 2.24 eV per formula unit.

The following is a PBE calculation of a geometry-optimized TcIr2W2 structure, from the Alexandria database.

Unit cell a=7.571 b=7.571 c=2.780 alpha=90.00 beta=90.00 gamma=90.00
Atoms (fractional coordinates):
1 Tc 0.000 0.000 0.000
2 Tc 0.500 0.500 0.000
3 Ir 0.126 0.374 0.000
4 Ir 0.374 0.874 0.000
5 Ir 0.626 0.126 0.000
6 Ir 0.874 0.626 0.000
7 W 0.171 0.671 0.500
8 W 0.329 0.171 0.500
9 W 0.671 0.829 0.500
10 W 0.829 0.329 0.500

Output
The energy of formation from the pure elements is 0.056 eV/atom. The volume comes out at 15.93 Å³/atom. The energy above the most stable polymorph in this dataset is 0.00 eV per formula unit.

The following is a PBE calculation of a geometry-optimized TcIr2W structure, from the Alexandria database.

Unit cell a=3.880 b=3.880 c=3.932 alpha=90.00 beta=90.00 gamma=90.00
Atoms (fractional coordinates):
1 Tc 0.000 0.000 0.000
2 Ir 0.000 0.500 0.500
3 Ir 0.500 0.000 0.500
4 W 0.500 0.500 0.000

Output
The energy of formation from the pure elements is -0.280 eV/atom. The volume comes out at 14.79 Å³/atom. The energy above the most stable polymorph in this dataset is 0.20 eV per formula unit.

The following is a PBE calculation of a geometry-optimized TcIr2W structure, from the Alexandria database.

Unit cell a=5.526 b=5.526 c=4.789 alpha=107.13 beta=107.13 gamma=59.63
Atoms (fractional coordinates):
1 Tc 0.127 0.127 0.255
2 Tc 0.873 0.873 0.745
3 Ir 0.125 0.627 0.248
4 Ir 0.373 0.875 0.752
5 Ir 0.627 0.125 0.248
6 Ir 0.875 0.373 0.752
7 W 0.368 0.368 0.735
8 W 0.632 0.632 0.265

Output
The energy of formation from the pure elements is -0.255 eV/atom. The volume comes out at 14.83 Å³/atom. The energy above the most stable polymorph in this dataset is 0.30 eV per formula unit.

The following is a PBE calculation of a geometry-optimized TcIr2W structure, from the Alexandria database.

Unit cell a=3.342 b=3.342 c=5.476 alpha=90.00 beta=90.00 gamma=90.00
Atoms (fractional coordinates):
1 Tc 0.000 0.000 0.000
2 Ir 0.500 0.500 0.249
3 Ir 0.500 0.500 0.751
4 W 0.000 0.000 0.500

Output
The energy of formation from the pure elements is 0.164 eV/atom. The volume comes out at 15.29 Å³/atom. The energy above the most stable polymorph in this dataset is 1.97 eV per formula unit.

The following is a PBE calculation of a geometry-optimized TcIr2W structure, from the Alexandria database.

Unit cell a=4.796 b=4.796 c=4.796 alpha=132.27 beta=132.27 gamma=69.81
Atoms (fractional coordinates):
1 Tc 0.000 0.000 0.000
2 Ir 0.250 0.750 0.500
3 Ir 0.750 0.250 0.500
4 W 0.500 0.500 0.000

Output
The energy of formation from the pure elements is -0.266 eV/atom. The volume comes out at 14.81 Å³/atom. The energy above the most stable polymorph in this dataset is 0.26 eV per formula unit.

The following is a PBE calculation of a geometry-optimized TcIr2W structure, from the Alexandria database.

Unit cell a=9.099 b=9.099 c=9.099 alpha=17.54 beta=17.54 gamma=17.54
Atoms (fractional coordinates):
1 Tc 0.000 0.000 0.000
2 Ir 0.251 0.251 0.251
3 Ir 0.749 0.749 0.749
4 W 0.500 0.500 0.500

Output
The energy of formation from the pure elements is -0.088 eV/atom. The volume comes out at 14.92 Å³/atom. The energy above the most stable polymorph in this dataset is 0.97 eV per formula unit.